Material: ZrZn3Pd4
Method: DFT, PBE-GGA
State: relaxed

Calculated total energy in eV/cell: -37.8
Magnetization in μB per formula unit: 0.00
Formation enthalpy at 0 K in meV per atom: -577

abc: 7.6579 7.6579 7.6579
angles: 33.95 33.95 33.95
Atoms (fractional coordinates):
Zr1 0.0000 0.0000 0.0000
Zn1 0.2513 0.2513 0.2513
Zn2 0.5000 0.5000 0.5000
Zn3 0.7487 0.7487 0.7487
Pd1 0.1276 0.1276 0.1276
Pd2 0.3808 0.3808 0.3808
Pd3 0.6192 0.6192 0.6192
Pd4 0.8724 0.8724 0.8724